1.
! Pr2CrCu3Ni12 PBE relaxed; values from VASP
! E_form   266 meV/atom
&SYSTEM
  ibrav = 0, nat = 18, ntyp = 4
/
ATOMIC_SPECIES
Pr 140.91 Pr.upf
Cr 52.00 Cr.upf
Cu 63.55 Cu.upf
Ni 58.69 Ni.upf
ATOMIC_POSITIONS angstrom
Pr 0.000 0.000 3.904
Pr 0.000 0.000 21.362
Cr 0.000 0.000 12.633
Cu -1.509 -0.871 8.422
Cu -1.509 0.871 16.844
Cu 0.000 1.743 8.422
Ni 0.000 -2.124 7.127
Ni -1.839 1.062 7.127
Ni -1.247 -0.720 10.840
Ni -1.839 -1.062 18.138
Ni 0.000 -1.440 14.425
Ni -1.247 0.720 14.425
Ni 1.247 -0.720 10.840
Ni 0.000 1.440 10.840
Ni 1.839 1.062 7.127
Ni 1.247 0.720 14.425
Ni 1.839 -1.062 18.138
Ni 0.000 2.124 18.138
CELL_PARAMETERS angstrom
3.018 1.743 8.422
-3.018 1.743 8.422
0.000 -3.485 8.422

***

2.
! CrCuNi2Pt4 PBE relaxed; values from VASP
! E_form   234 meV/atom
&SYSTEM
  ibrav = 0, nat = 8, ntyp = 4
/
ATOMIC_SPECIES
Cr 52.00 Cr.upf
Cu 63.55 Cu.upf
Ni 58.69 Ni.upf
Pt 195.08 Pt.upf
ATOMIC_POSITIONS angstrom
Cr 0.000 0.000 0.000
Cu 0.000 0.000 4.543
Ni 1.878 1.878 3.459
Ni 1.878 1.878 5.626
Pt 0.000 1.878 1.772
Pt 0.000 1.878 7.313
Pt 1.878 0.000 1.772
Pt 1.878 0.000 7.313
CELL_PARAMETERS angstrom
3.757 0.000 0.000
0.000 3.757 0.000
0.000 0.000 9.085

***

3.
! CrCuRe2Ni PBE relaxed; values from VASP
! E_form   1600 meV/atom
&SYSTEM
  ibrav = 0, nat = 5, ntyp = 4
/
ATOMIC_SPECIES
Cr 52.00 Cr.upf
Cu 63.55 Cu.upf
Re 186.21 Re.upf
Ni 58.69 Ni.upf
ATOMIC_POSITIONS angstrom
Cr 0.000 0.000 0.000
Cu 2.207 2.207 2.121
Re 0.000 2.207 0.000
Re 2.207 0.000 0.000
Ni 0.000 0.000 2.121
CELL_PARAMETERS angstrom
4.414 0.000 0.000
0.000 4.414 0.000
0.000 0.000 4.241

***

4.
! CrCuNiRh PBE relaxed; values from VASP
! E_form   71 meV/atom
&SYSTEM
  ibrav = 0, nat = 4, ntyp = 4
/
ATOMIC_SPECIES
Cr 52.00 Cr.upf
Cu 63.55 Cu.upf
Ni 58.69 Ni.upf
Rh 102.91 Rh.upf
ATOMIC_POSITIONS angstrom
Cr 0.000 0.000 0.000
Cu 2.928 2.928 2.928
Ni 1.464 1.464 1.464
Rh 4.392 4.392 4.392
CELL_PARAMETERS angstrom
0.000 2.928 2.928
2.928 0.000 2.928
2.928 2.928 0.000

***

5.
! Cr8Cu3NiS16 PBE relaxed; values from VASP
! E_form (uncorrected)   -636 meV/atom
&SYSTEM
  ibrav = 0, nat = 28, ntyp = 4
/
ATOMIC_SPECIES
Cr 52.00 Cr.upf
Cu 63.55 Cu.upf
Ni 58.69 Ni.upf
S 32.06 S.upf
ATOMIC_POSITIONS angstrom
Cr 0.000 0.000 0.000
Cr 0.000 -2.008 14.142
Cr -1.739 1.004 14.142
Cr -1.731 -1.000 19.839
Cr 0.000 0.000 16.986
Cr 1.739 1.004 14.142
Cr 1.731 -1.000 19.839
Cr 0.000 1.999 19.839
Cu 0.000 0.000 6.360
Cu 0.000 0.000 10.613
Cu 0.000 0.000 27.626
Ni 0.000 0.000 23.370
S 0.000 -2.134 9.872
S -1.848 1.067 9.872
S 0.000 0.000 4.093
S -1.625 -0.938 15.518
S -1.808 -1.044 24.103
S 0.000 0.000 12.870
S 0.000 -1.876 18.459
S -1.625 0.938 18.459
S 1.625 -0.938 15.518
S 0.000 1.876 15.518
S 0.000 0.000 21.163
S 1.848 1.067 9.872
S 1.625 0.938 18.459
S 0.000 0.000 29.893
S 1.808 -1.044 24.103
S 0.000 2.088 24.103
CELL_PARAMETERS angstrom
3.470 2.004 11.339
-3.470 2.004 11.339
0.000 -4.007 11.339

***

6.
! CrCu2NiS PBE relaxed; values from VASP
! E_form (uncorrected)   608 meV/atom
&SYSTEM
  ibrav = 0, nat = 5, ntyp = 4
/
ATOMIC_SPECIES
Cr 52.00 Cr.upf
Cu 63.55 Cu.upf
Ni 58.69 Ni.upf
S 32.06 S.upf
ATOMIC_POSITIONS angstrom
Cr 0.000 0.000 0.000
Cu 0.000 2.246 2.038
Cu 2.246 0.000 2.038
Ni 2.246 2.246 2.038
S 2.246 2.246 0.000
CELL_PARAMETERS angstrom
4.491 0.000 0.000
0.000 4.491 0.000
0.000 0.000 4.076

***

What are the uncorrected energy values for these records? In order: -5.337, -5.947, -7.280, -6.642, -6.389, -4.937 eV/atom.